# 1
Mn2CrCo: optimized geometry, PBE-GGA.

Cell: 5.0512 6.9854 2.5172 Å, 90.00 90.00 90.00°
Space group Cmmm (No. 65)
Unique sites:
Mn  0.2500  0.2500  0.0000
Cr  0.0000  0.0000  0.5000
Co  0.0000  0.5000  0.5000

Results
- Size of the total moment: 0.2738 μB per atom
- Total energy: -69.26 eV per cell
- Energy of formation: 0.109 eV/atom

=====

# 2
MnCr2Co: optimized geometry, PBE-GGA.

Cell: 2.8941 2.8941 5.6299 Å, 90.00 90.00 90.00°
Space group P4mm (No. 99)
Unique sites:
Mn  0.0000  0.0000  0.0000
Cr  0.0000  0.0000  0.5015
Cr  0.5000  0.5000  0.7486
Co  0.5000  0.5000  0.2516

Results
- Size of the total moment: 0.9984 μB per atom
- Total energy: -35.33 eV per cell
- Energy of formation: 0.047 eV/atom

=====

# 3
MnCr2Co: optimized geometry, PBE-GGA.

Cell: 8.3093 2.4737 4.3735 Å, 90.00 98.83 90.00°
Space group Cm (No. 8)
Unique sites:
Mn  0.0000  0.0000  0.0000
Cr  0.0168  0.5000  0.5177
Cr  0.2563  0.5000  0.2449
Co  0.2622  0.0000  0.7535

Results
- Size of the total moment: 0.0003 μB per atom
- Total energy: -69.98 eV per cell
- Energy of formation: 0.133 eV/atom

=====

# 4
MnCr2Co: optimized geometry, PBE-GGA.

Cell: 3.5184 3.5184 7.2570 Å, 90.00 90.00 90.00°
Space group I-4m2 (No. 119)
Unique sites:
Mn  0.0000  0.0000  0.0000
Cr  0.0000  0.0000  0.5000
Cr  0.0000  0.5000  0.2500
Co  0.0000  0.5000  0.7500

Results
- Size of the total moment: 0.0628 μB per atom
- Total energy: -70.00 eV per cell
- Energy of formation: 0.131 eV/atom